# 1
## MnRe2P (PBE)

Data for a relaxed MnRe2P crystal.

Its calculated density is 14.727 g/cm3. The formation energy comes out at -0.05 eV/atom.

The space group is P4/mmm (No. 123) and the conventional cell measures 2.872, 2.872 and 6.265 Å, with angles of 90.00, 90.00 and 90.00 degrees. The asymmetric unit holds Mn at (0.000, 0.000, 0.000), Re at (0.500, 0.500, 0.262) and P at (0.000, 0.000, 0.500).


# 2
## TaGa3Co4 (PBE)

Data for a relaxed TaGa3Co4 crystal.

Its calculated density is 10.303 g/cm3. The formation energy comes out at -0.32 eV/atom.

The space group is I4/mmm (No. 139) and the conventional cell measures 4.142, 4.142 and 11.757 Å, with angles of 90.00, 90.00 and 90.00 degrees. The asymmetric unit holds Ta at (0.000, 0.000, 0.000), Ga at (0.000, 0.000, 0.250), Ga at (0.000, 0.000, 0.500) and Co at (0.000, 0.500, 0.128).


# 3
## SrAgAu3 (PBE)

Data for a relaxed SrAgAu3 crystal.

As for the energy above the most stable polymorph in this dataset: 963 meV per atom. Its calculated density is 6.870 g/cm3. The formation energy comes out at 0.67 eV/atom.

The space group is Pm-3m (No. 221) and the conventional cell measures 5.750, 5.750 and 5.750 Å, with angles of 90.00, 90.00 and 90.00 degrees. The asymmetric unit holds Sr at (0.000, 0.000, 0.000), Ag at (0.500, 0.500, 0.500) and Au at (0.000, 0.000, 0.500).


# 4
## BaY2UO8 (PBE)

Data for a relaxed BaY2UO8 crystal.

Its calculated density is 6.578 g/cm3.

The space group is P2/m (No. 10) and the conventional cell measures 3.910, 8.152 and 5.394 Å, with angles of 90.00, 90.12 and 90.00 degrees. The asymmetric unit holds Ba at (0.000, 0.000, 0.000), Y at (0.500, 0.286, 0.500), U at (0.000, 0.500, 0.000), O at (0.000, 0.292, 0.244), O at (0.496, 0.000, 0.639) and O at (0.500, 0.500, 0.233).


# 5
## Tl2BI5 (PBE)

Data for a relaxed Tl2BI5 crystal.

Its calculated density is 4.807 g/cm3.

The space group is C2/c (No. 15) and the conventional cell measures 20.214, 10.319 and 16.220 Å, with angles of 90.00, 120.57 and 90.00 degrees. The asymmetric unit holds Tl at (0.037, 0.215, 0.440), Tl at (0.139, 0.186, 0.820), B at (0.173, 0.411, 0.322), I at (0.014, 0.107, 0.892), I at (0.094, 0.476, 0.687), I at (0.130, 0.204, 0.300), I at (0.170, 0.500, 0.448) and I at (0.206, 0.082, 0.652).


# 6
## VAg2Ge2 (PBE)

Data for a relaxed VAg2Ge2 crystal.

Its calculated density is 7.582 g/cm3. The formation energy comes out at 0.29 eV/atom.

The space group is P4/mbm (No. 127) and the conventional cell measures 6.738, 6.738 and 3.975 Å, with angles of 90.00, 90.00 and 90.00 degrees. The asymmetric unit holds V at (0.000, 0.000, 0.000), Ag at (0.163, 0.337, 0.500) and Ge at (0.143, 0.643, 0.000).


DFT total energy
In order: -39.69 -103.84 -11.04 -101.62 -174.65 -45.25
Unit: eV per cell
Volume
In order: 12.9 12.6 38.0 14.3 45.5 18.0
Unit: A^3/atom